VASP calculation (GGA+U) on a relaxed structure of Li3Cr2P3O12.

a b c (Å): 8.525 8.525 6.371
angles (deg): 73.44 73.44 92.82
Site moments in Bohr magnetons follow the coordinates.
Fractional positions:
1 Cr 0.622 0.944 0.135  2.96
2 Cr 0.378 0.056 0.865  2.96
3 Cr 0.944 0.622 0.635  2.96
4 Cr 0.056 0.378 0.365  2.96
5 O 0.843 0.837 0.607  -0.01
6 O 0.669 0.995 0.400  -0.01
7 O 0.733 0.466 0.767  -0.01
8 O 0.331 0.005 0.600  -0.01
9 O 0.005 0.331 0.100  -0.01
10 O 0.460 0.292 0.304  0.00
11 O 0.827 0.261 0.530  -0.01
12 O 0.837 0.843 0.107  -0.01
13 O 0.267 0.534 0.233  -0.01
14 O 0.163 0.157 0.893  -0.01
15 O 0.739 0.173 0.970  -0.01
16 O 0.403 0.048 0.176  -0.03
17 O 0.157 0.163 0.393  -0.01
18 O 0.292 0.460 0.804  0.00
19 O 0.995 0.669 0.900  -0.01
20 O 0.048 0.403 0.676  -0.03
21 O 0.173 0.739 0.470  -0.01
22 O 0.708 0.540 0.196  0.00
23 O 0.466 0.733 0.267  -0.01
24 O 0.540 0.708 0.696  0.00
25 O 0.534 0.267 0.733  -0.01
26 O 0.952 0.597 0.324  -0.03
27 O 0.597 0.952 0.824  -0.03
28 O 0.261 0.827 0.030  -0.01
29 P 0.341 0.136 0.367  0.01
30 P 0.711 0.289 0.750  0.01
31 P 0.289 0.711 0.250  0.01
32 P 0.136 0.341 0.867  0.01
33 P 0.864 0.659 0.133  0.01
34 P 0.659 0.864 0.633  0.01
35 Li 0.711 0.289 0.250  0.00
36 Li 0.500 0.500 0.500  0.00
37 Li 0.955 0.045 0.250  0.00
38 Li 0.289 0.711 0.750  0.00
39 Li 0.500 0.500 0.000  0.00
40 Li 0.045 0.955 0.750  0.00

As for the total magnetization: 12.0 Bohr magnetons per cell. The calculation puts the distance to the lowest polymorph of the same formula at 34 meV per atom. The density of states at the Fermi level is 0.0 states/eV/f.u. For the theoretical density, the calculation gives 3.231 g/cm³. As for the symmetry: C2/c.